# NpH2Rh GGA-PBE optimized geometry
data_NpH2Rh
_cell_length_a 2.9406
_cell_length_b 2.9406
_cell_length_c 18.2602
_cell_angle_alpha 90.00
_cell_angle_beta 90.00
_cell_angle_gamma 120.00
_space_group_name_H-M_alt 'R -3 m'
_space_group_IT_number 166
_space_group_name_Hall '-R 3 2"'
loop_
_atom_site_label
_atom_site_type_symbol
_atom_site_fract_x
_atom_site_fract_y
_atom_site_fract_z
Np1 Np 0.0000 0.0000 0.0000
H1 H 0.0000 0.0000 0.4093
Rh1 Rh 0.0000 0.0000 0.5000
# total magnetization: 11.08 μB per cell
# ΔE to the lowest computed polymorph: 26.0 kJ per mole of atoms